Record 1
Density functional theory data (PBE-GGA) for an optimized crystal structure of Zn2NiAs.

## Properties
energy of formation from the pure elements = 0.034 eV per atom
D(E_F) = 2.95 states/eV/cell

The structure in CIF format:
```
data_Zn2NiAs
_symmetry_space_group_name_H-M 'C m m m'
_symmetry_Int_Tables_number 65
_symmetry_space_group_name_Hall '-C 2 2'
_cell_length_a 5.101
_cell_length_b 7.763
_cell_length_c 2.938
_cell_angle_alpha 90.00
_cell_angle_beta 90.00
_cell_angle_gamma 90.00
loop_
_atom_site_label
_atom_site_fract_x
_atom_site_fract_y
_atom_site_fract_z
Zn1 0.250 0.250 0.000
Ni1 0.000 0.000 0.500
As1 0.000 0.500 0.500
```

=====

Record 2
Density functional theory data (PBE-GGA) for an optimized crystal structure of InCu2Pt2.

## Properties
energy above the most stable polymorph in this dataset = 68 meV/atom
energy of formation from the pure elements = -0.081 eV per atom
D(E_F) = 2.17 states/eV/cell

The structure in CIF format:
```
data_InCu2Pt2
_symmetry_space_group_name_H-M 'P -3 m 1'
_symmetry_Int_Tables_number 164
_symmetry_space_group_name_Hall '-P 3 2"'
_cell_length_a 4.4205
_cell_length_b 4.4205
_cell_length_c 5.1653
_cell_angle_alpha 90.00
_cell_angle_beta 90.00
_cell_angle_gamma 120.00
loop_
_atom_site_label
_atom_site_fract_x
_atom_site_fract_y
_atom_site_fract_z
In1 0.0000 0.0000 0.0000
Cu1 0.3333 0.6667 0.6468
Pt1 0.3333 0.6667 0.1638
```

=====

Record 3
Density functional theory data (PBE-GGA) for an optimized crystal structure of ZnTc2Pd.

## Properties
energy of formation from the pure elements = 0.690 eV per atom
D(E_F) = 15.89 states/eV/cell

The structure in CIF format:
```
data_ZnTc2Pd
_symmetry_space_group_name_H-M 'I -4 2 d'
_symmetry_Int_Tables_number 122
_symmetry_space_group_name_Hall 'I -4 2bw'
_cell_length_a 7.140
_cell_length_b 7.140
_cell_length_c 4.995
_cell_angle_alpha 90.00
_cell_angle_beta 90.00
_cell_angle_gamma 90.00
loop_
_atom_site_label
_atom_site_fract_x
_atom_site_fract_y
_atom_site_fract_z
Zn1 0.000 0.000 0.000
Tc1 0.238 0.250 0.125
Pd1 0.000 0.000 0.500
```

=====

Record 4
Density functional theory data (PBE-GGA) for an optimized crystal structure of CaPaRuRh.

## Properties
energy of formation from the pure elements = -0.353 eV per atom
D(E_F) = 11.18 states/eV/cell

The structure in CIF format:
```
data_CaPaRuRh
_symmetry_space_group_name_H-M 'F -4 3 m'
_symmetry_Int_Tables_number 216
_symmetry_space_group_name_Hall 'F -4 2 3'
_cell_length_a 6.825
_cell_length_b 6.825
_cell_length_c 6.825
_cell_angle_alpha 90.00
_cell_angle_beta 90.00
_cell_angle_gamma 90.00
loop_
_atom_site_label
_atom_site_fract_x
_atom_site_fract_y
_atom_site_fract_z
Ca1 0.000 0.000 0.000
Pa1 0.000 0.000 0.500
Ru1 0.250 0.250 0.750
Rh1 0.250 0.250 0.250
```

=====

Record 5
Density functional theory data (PBE-GGA) for an optimized crystal structure of HRh2AuCl.

## Properties
D(E_F) = 6.97 states/eV/cell
E = -3.698 eV per atom

The structure in CIF format:
```
data_HRh2AuCl
_symmetry_space_group_name_H-M 'P 4/m m m'
_symmetry_Int_Tables_number 123
_symmetry_space_group_name_Hall '-P 4 2'
_cell_length_a 5.161
_cell_length_b 5.161
_cell_length_c 3.234
_cell_angle_alpha 90.00
_cell_angle_beta 90.00
_cell_angle_gamma 90.00
loop_
_atom_site_label
_atom_site_fract_x
_atom_site_fract_y
_atom_site_fract_z
H1 0.000 0.000 0.000
Rh1 0.000 0.500 0.500
Au1 0.000 0.000 0.500
Cl1 0.500 0.500 0.000
```

=====

Record 6
Density functional theory data (PBE-GGA) for an optimized crystal structure of NaMgAs2Se.

## Properties
raw formation energy = 0.6650 eV per atom
energy above the most stable polymorph in this dataset = 554 meV/atom
D(E_F) = 5.16 states/eV/cell

The structure in CIF format:
```
data_NaMgAs2Se
_symmetry_space_group_name_H-M 'P 4/m m m'
_symmetry_Int_Tables_number 123
_symmetry_space_group_name_Hall '-P 4 2'
_cell_length_a 5.011
_cell_length_b 5.011
_cell_length_c 5.133
_cell_angle_alpha 90.00
_cell_angle_beta 90.00
_cell_angle_gamma 90.00
loop_
_atom_site_label
_atom_site_fract_x
_atom_site_fract_y
_atom_site_fract_z
Na1 0.000 0.000 0.000
Mg1 0.500 0.500 0.500
As1 0.000 0.500 0.000
Se1 0.000 0.000 0.500
```

=====

Record 7
Density functional theory data (PBE-GGA) for an optimized crystal structure of MnGe2Pt.

## Properties
energy above the most stable polymorph in this dataset = 61 meV/atom
energy of formation from the pure elements = 0.053 eV per atom
D(E_F) = 8.43 states/eV/cell

The structure in CIF format:
```
data_MnGe2Pt
_symmetry_space_group_name_H-M 'I -4 2 d'
_symmetry_Int_Tables_number 122
_symmetry_space_group_name_Hall 'I -4 2bw'
_cell_length_a 7.192
_cell_length_b 7.192
_cell_length_c 5.441
_cell_angle_alpha 90.00
_cell_angle_beta 90.00
_cell_angle_gamma 90.00
loop_
_atom_site_label
_atom_site_fract_x
_atom_site_fract_y
_atom_site_fract_z
Mn1 0.000 0.000 0.000
Ge1 0.230 0.250 0.625
Pt1 0.000 0.000 0.500
```

=====

Record 8
Density functional theory data (PBE-GGA) for an optimized crystal structure of Np5Sc3H12.

## Properties
D(E_F) = 234.38 states/eV/cell
E = -6.268 eV per atom

The structure in CIF format:
```
data_Np5Sc3H12
_symmetry_space_group_name_H-M 'I a -3 d'
_symmetry_Int_Tables_number 230
_symmetry_space_group_name_Hall '-I 4bd 2c 3'
_cell_length_a 12.420
_cell_length_b 12.420
_cell_length_c 12.420
_cell_angle_alpha 90.00
_cell_angle_beta 90.00
_cell_angle_gamma 90.00
loop_
_atom_site_label
_atom_site_fract_x
_atom_site_fract_y
_atom_site_fract_z
Np1 0.000 0.000 0.000
Np2 0.000 0.250 0.375
Sc1 0.000 0.250 0.125
H1 0.006 0.075 0.158
```

=====

Question: Which of these has the lowest D(E_F)?
Answer: InCu2Pt2

=====

Question: What is the formula in the third record?
Answer: ZnTc2Pd